No. 1
A plane-wave DFT calculation with PBE-GGA was carried out for La6Ga2Br3Cl after structural relaxation.

It has space group C2/m (No. 12), with a = 7.550 Å, b = 13.112 Å, c = 7.662 Å, α = 90.00°, β = 109.24° and γ = 90.00°. The asymmetric unit holds La at (0.240, 0.000, 0.231), La at (0.244, 0.332, 0.229), Ga at (0.000, 0.166, 0.000), Br at (0.000, 0.000, 0.500), Br at (0.000, 0.328, 0.500) and Cl at (0.000, 0.500, 0.000).

The value obtained for the formation energy from raw total energies is -1.150 eV per atom. The calculated total energy is -112.6 eV per cell.

---

No. 2
A plane-wave DFT calculation with PBE-GGA was carried out for La5Ga2BrCl after structural relaxation.

It has space group Cmc2_1 (No. 36), with a = 4.029 Å, b = 18.476 Å, c = 14.572 Å, α = 90.00°, β = 90.00° and γ = 90.00°. The asymmetric unit holds La at (0.000, 0.007, 0.000), La at (0.000, 0.127, 0.240), La at (0.000, 0.190, 0.583), La at (0.000, 0.208, 0.912), La at (0.000, 0.462, 0.328), Ga at (0.000, 0.362, 0.556), Ga at (0.000, 0.380, 0.920), Br at (0.000, 0.295, 0.247) and Cl at (0.000, 0.040, 0.687).

The value obtained for the formation energy from raw total energies is -0.829 eV per atom. The calculated total energy is -166.7 eV per cell.

---

No. 3
A plane-wave DFT calculation with PBE-GGA was carried out for MgGa2Br2Cl6 after structural relaxation.

It has space group P-3 (No. 147), with a = 6.3115 Å, b = 6.3115 Å, c = 11.3547 Å, α = 90.00°, β = 90.00° and γ = 120.00°. The asymmetric unit holds Mg at (0.0000, 0.0000, 0.0000), Ga at (0.3333, 0.6667, 0.7954), Br at (0.3333, 0.6667, 0.5950) and Cl at (0.0067, 0.6768, 0.8684).

The value obtained for the formation energy from raw total energies is -1.221 eV per atom. The calculated total energy is -35.5 eV per cell.

---

No. 4
A plane-wave DFT calculation with PBE-GGA was carried out for MgGaBrCl4 after structural relaxation.

It has space group C2/m (No. 12), with a = 15.457 Å, b = 7.260 Å, c = 9.991 Å, α = 90.00°, β = 98.63° and γ = 90.00°. The asymmetric unit holds Mg at (0.095, 0.000, 0.103), Ga at (0.124, 0.500, 0.275), Br at (0.060, 0.000, 0.847), Cl at (0.013, 0.500, 0.798), Cl at (0.171, 0.500, 0.487) and Cl at (0.189, 0.256, 0.179).

The value obtained for the formation energy from raw total energies is -1.308 eV per atom. The calculated total energy is -91.3 eV per cell.

---

No. 5
A plane-wave DFT calculation with PBE-GGA was carried out for MgGaBr2Cl after structural relaxation.

It has space group P4/mmm (No. 123), with a = 5.358 Å, b = 5.358 Å, c = 4.859 Å, α = 90.00°, β = 90.00° and γ = 90.00°. The asymmetric unit holds Mg at (0.000, 0.000, 0.000), Ga at (0.500, 0.500, 0.500), Br at (0.000, 0.500, 0.000) and Cl at (0.000, 0.000, 0.500).

The value obtained for the formation energy from raw total energies is -1.093 eV per atom. The calculated total energy is -15.3 eV per cell.

---

No. 6
A plane-wave DFT calculation with PBE-GGA was carried out for MgGa2Br2Cl2 after structural relaxation.

It has space group P-1 (No. 2), with a = 3.800 Å, b = 7.181 Å, c = 8.061 Å, α = 114.25°, β = 103.54° and γ = 90.09°. The asymmetric unit holds Mg at (0.000, 0.000, 0.000), Ga at (0.154, 0.601, 0.304), Br at (0.193, 0.224, 0.387) and Cl at (0.489, 0.222, 0.976).

The value obtained for the formation energy from raw total energies is -1.035 eV per atom. The calculated total energy is -21.9 eV per cell.

---

No. 7
A plane-wave DFT calculation with PBE-GGA was carried out for MnGa2Br6Cl2 after structural relaxation.

It has space group P-3 (No. 147), with a = 6.7284 Å, b = 6.7284 Å, c = 9.8128 Å, α = 90.00°, β = 90.00° and γ = 120.00°. The asymmetric unit holds Mn at (0.0000, 0.0000, 0.0000), Ga at (0.3333, 0.6667, 0.7550), Br at (0.9997, 0.3254, 0.1622) and Cl at (0.3333, 0.6667, 0.5371).

The value obtained for the formation energy from raw total energies is -0.845 eV per atom. The calculated total energy is -38.2 eV per cell.

---

No. 8
A plane-wave DFT calculation with PBE-GGA was carried out for MnGaBr2Cl after structural relaxation.

It has space group P4/mmm (No. 123), with a = 5.369 Å, b = 5.369 Å, c = 4.885 Å, α = 90.00°, β = 90.00° and γ = 90.00°. The asymmetric unit holds Mn at (0.000, 0.000, 0.000), Ga at (0.500, 0.500, 0.500), Br at (0.000, 0.500, 0.000) and Cl at (0.000, 0.000, 0.500).

The value obtained for the formation energy from raw total energies is -0.662 eV per atom. The calculated total energy is -20.7 eV per cell.